[1]
Tl6Hg23 (PBE, optimized geometry); energy of formation = 0.9 kJ per mole of atoms; M_tot = 0.000 μB/atom
1.0
9.151 0.000 5.283
3.050 8.628 5.283
0.000 0.000 10.567
Hg Tl
23 6
Cartesian
2.204 5.691 10.567
1.525 4.314 7.925
6.450 0.955 5.283
4.152 2.936 13.941
1.351 0.955 8.228
5.751 7.673 15.850
10.851 7.673 18.794
6.101 0.181 10.567
4.576 0.000 7.925
9.151 2.865 15.850
1.525 4.314 2.642
6.101 4.314 10.567
4.152 2.936 7.192
10.851 7.673 12.906
8.049 5.691 7.192
6.101 4.314 5.283
4.576 0.000 2.642
3.050 5.763 5.283
1.351 0.955 2.339
8.049 5.691 13.941
9.997 2.936 10.567
6.101 8.447 10.567
0.000 0.000 5.283
4.749 6.225 12.908
8.804 6.225 10.567
4.749 6.225 8.226
7.452 2.402 12.908
3.397 2.402 10.567
7.452 2.402 8.226

---

[2]
TlHg2 (PBE, optimized geometry); excess energy over the best structure of this formula in the dataset = 22.4 meV/atom; energy of formation = 0.1 kJ per mole of atoms; M_tot = 0.000 μB/atom
1.0
9.334 0.000 0.000
-4.667 8.084 0.000
0.000 0.000 3.440
Hg Tl
6 3
Cartesian
5.953 0.000 1.720
-1.429 2.475 0.000
1.691 2.928 1.720
3.238 5.609 0.000
2.858 0.000 0.000
-2.977 5.156 1.720
0.000 0.000 1.720
4.667 2.695 0.000
0.000 5.389 0.000

---

[3]
Tl7Hg (PBE, optimized geometry); energy of formation = 2.1 kJ per mole of atoms; M_tot = 0.000 μB/atom
1.0
4.599 0.000 -1.129
-0.277 4.590 -1.129
0.327 0.347 11.259
Tl Hg
7 1
Cartesian
4.171 1.989 7.058
0.477 2.949 1.942
1.241 1.319 5.055
2.915 0.654 1.942
1.733 4.284 7.058
2.161 2.295 -1.129
3.407 3.619 3.946
0.000 0.000 0.000

---

[4]
Tl5Hg6 (PBE, optimized geometry); excess energy over the best structure of this formula in the dataset = 0.0 meV/atom; energy of formation = 0.3 kJ per mole of atoms; M_tot = 0.000 μB/atom
1.0
-2.811 0.419 -6.362
-6.448 -2.923 -1.159
-4.384 6.781 -0.427
Hg Tl
6 5
Cartesian
-1.798 2.073 -1.274
-8.327 -0.494 -7.073
-9.177 3.456 -3.072
-5.396 5.127 -5.515
-5.317 4.771 -0.875
-4.467 0.821 -4.876
-6.382 1.870 -2.278
-3.597 3.600 -3.395
-7.262 2.407 -5.670
-6.378 -1.797 -4.932
-2.881 -0.707 -2.590

---

[5]
Tl3Hg (PBE, optimized geometry); energy of formation = 2.0 kJ per mole of atoms; M_tot = 0.000 μB/atom
1.0
4.892 0.000 0.000
0.000 4.892 0.000
0.000 0.000 4.892
Tl Hg
3 1
Cartesian
2.446 2.446 0.000
0.000 2.446 2.446
2.446 0.000 2.446
0.000 0.000 0.000

---

[6]
Tm5Tl4Hg (PBE, optimized geometry); energy of formation = -31.8 kJ per mole of atoms; M_tot = 0.000 μB/atom
1.0
-2.050 2.363 -1.980
-2.044 0.738 2.998
11.907 14.202 4.622
Tl Tm Hg
4 5 1
Cartesian
9.580 11.427 3.719
4.746 5.661 1.842
7.161 8.541 2.780
2.327 2.775 0.903
8.746 14.425 4.698
1.485 5.764 1.880
3.906 8.652 2.820
-0.934 2.879 0.941
6.328 11.540 3.760
0.000 0.000 0.000

---

[7]
Tm11Tl9Hg4 (PBE, optimized geometry); energy of formation = -30.0 kJ per mole of atoms; M_tot = 0.000 μB/atom
1.0
-0.760 -0.177 3.658
-13.196 -0.996 -2.790
6.222 -11.987 0.714
Tm Tl Hg
11 9 4
Cartesian
-1.973 -3.673 -0.587
-10.043 -2.780 -2.221
-8.639 -7.966 -2.180
-0.668 -8.086 -0.529
-1.952 -11.751 -0.973
0.000 0.000 0.000
-6.305 -4.896 -1.547
3.070 -10.202 0.146
-5.021 -1.231 -1.103
1.666 -5.016 0.104
-5.000 -9.309 -1.488
0.111 -10.748 1.416
-2.796 -0.947 1.285
-9.424 -5.351 -0.304
-7.844 -2.410 0.166
1.690 -7.807 1.887
0.202 -2.644 1.827
-7.936 -10.515 -0.244
-4.937 -12.212 0.297
-3.867 -6.579 0.791
-0.941 -5.750 1.439
-2.989 -9.562 0.830
-6.793 -7.409 0.143
-4.745 -3.597 0.753

---

[8]
Tm4Tl3Hg (PBE, optimized geometry); excess energy over the best structure of this formula in the dataset = 37.0 meV/atom; energy of formation = -29.3 kJ per mole of atoms; M_tot = 0.000 μB/atom
1.0
3.773 0.000 0.000
0.000 4.825 0.000
0.000 0.000 11.819
Tl Hg Tm
3 1 4
Cartesian
0.000 2.413 6.976
0.000 0.000 4.847
1.886 0.000 10.810
1.886 2.413 1.046
1.886 2.413 4.077
0.000 0.000 1.736
1.886 0.000 7.690
0.000 2.413 10.094

---

[9]
Tm6Tl5Hg (PBE, optimized geometry); excess energy over the best structure of this formula in the dataset = 61.9 meV/atom; energy of formation = -25.2 kJ per mole of atoms; M_tot = 0.000 μB/atom
1.0
-1.089 -9.483 -1.722
6.033 -2.058 -0.510
3.135 -2.035 5.210
Tm Hg Tl
6 1 5
Cartesian
7.377 -5.589 2.603
1.211 -2.864 -0.554
3.759 -9.359 1.987
3.733 -8.677 -1.678
4.320 -4.216 0.991
0.702 -7.987 0.375
0.000 0.000 0.000
3.056 -1.361 1.550
5.529 -7.140 0.481
6.112 -2.732 3.150
2.550 -6.435 2.496
2.472 -5.770 -1.116

---

[10]
TmTlHg2 (PBE, optimized geometry); energy of formation = -22.3 kJ per mole of atoms; M_tot = 0.000 μB/atom
1.0
3.823 0.000 0.000
0.000 3.823 0.000
0.000 0.000 7.095
Hg Tl Tm
2 1 1
Cartesian
0.000 0.000 5.459
0.000 0.000 1.636
1.911 1.911 3.548
1.911 1.911 0.000

---

[11]
Tm4TlHg5 (PBE, optimized geometry); energy of formation = -36.9 kJ per mole of atoms; M_tot = 0.000 μB/atom
1.0
-2.927 -2.232 -0.519
2.001 -2.079 -2.343
5.479 -10.425 13.929
Tm Hg Tl
4 5 1
Cartesian
2.193 -4.173 5.576
1.098 -2.089 2.791
3.286 -6.252 8.353
4.381 -8.336 11.138
3.351 -9.412 8.265
4.413 -11.432 10.964
1.202 -5.324 2.802
0.140 -3.304 0.103
2.277 -7.368 5.533
0.000 0.000 0.000

---

[12]
Tm4TlHg2 (PBE, optimized geometry); excess energy over the best structure of this formula in the dataset = 0.0 meV/atom; energy of formation = -24.5 kJ per mole of atoms; M_tot = 0.000 μB/atom
1.0
4.901 0.000 1.531
2.211 4.374 1.531
-0.103 -0.064 8.940
Tm Tl Hg
4 1 2
Cartesian
2.630 1.617 8.802
6.156 3.785 6.126
0.854 0.525 5.877
4.380 2.693 3.201
0.000 0.000 0.000
1.735 1.067 3.056
5.274 3.244 8.947

---

[13]
Tm5TlHg (PBE, optimized geometry); energy of formation = -9.4 kJ per mole of atoms; M_tot = 0.000 μB/atom
1.0
-2.372 8.888 0.992
-6.443 1.110 -6.547
-5.885 1.663 1.463
Hg Tm Tl
2 10 2
Cartesian
0.000 0.000 0.000
-2.943 0.832 0.731
-9.727 4.517 -3.357
-7.073 4.109 -5.880
-7.188 1.939 -3.579
-4.973 7.144 -0.735
-6.917 8.280 -3.427
-7.627 7.553 1.788
-7.783 3.381 -0.665
-4.208 3.758 -0.225
-7.512 9.723 -0.513
-10.493 7.903 -3.867
-6.138 4.919 -2.893
-8.562 6.743 -1.199

---

[14]
Tm2Tl3Hg3 (PBE, optimized geometry); energy of formation = -20.9 kJ per mole of atoms; M_tot = 0.000 μB/atom
1.0
4.556 0.000 0.000
0.000 4.709 0.000
0.000 0.000 9.426
Tm Hg Tl
2 3 3
Cartesian
0.000 0.000 7.050
0.000 0.000 2.376
0.000 2.354 4.713
2.278 0.000 4.713
0.000 2.354 0.000
2.278 2.354 7.028
2.278 0.000 0.000
2.278 2.354 2.398

---

[15]
TmTl2Hg (PBE, optimized geometry); energy of formation = -7.2 kJ per mole of atoms; M_tot = 0.000 μB/atom
1.0
3.996 0.000 0.000
0.000 3.996 0.000
0.000 0.000 6.773
Tm Tl Hg
1 2 1
Cartesian
1.998 1.998 0.000
0.000 0.000 5.064
0.000 0.000 1.709
1.998 1.998 3.386

---

[16]
Tm2TlHg8 (PBE, optimized geometry); energy of formation = -15.6 kJ per mole of atoms; M_tot = 0.000 μB/atom
1.0
-2.145 -4.353 -1.314
4.539 -3.449 4.018
-6.210 4.505 4.830
Hg Tm Tl
8 2 1
Cartesian
1.324 -1.006 1.172
-1.693 0.204 2.088
-5.140 -2.291 6.362
-2.123 -3.501 5.446
-1.332 -2.936 2.285
0.733 -4.505 4.112
-4.548 1.208 3.422
-2.483 -0.361 5.249
0.344 -1.493 4.384
-4.160 -1.805 3.150
-1.072 -2.177 -0.657

---

[17]
Tm5TlHg4 (PBE, optimized geometry); energy of formation = -42.6 kJ per mole of atoms; M_tot = 0.000 μB/atom
1.0
3.689 0.000 0.000
0.000 3.689 0.000
0.000 0.000 18.468
Hg Tl Tm
4 1 5
Cartesian
0.000 0.000 3.771
0.000 0.000 11.072
0.000 0.000 7.396
0.000 0.000 14.697
0.000 0.000 0.000
1.844 1.844 1.963
1.844 1.844 9.234
1.844 1.844 12.882
1.844 1.844 5.586
1.844 1.844 16.505

---

[18]
Tm4Tl3Hg (PBE, optimized geometry); excess energy over the best structure of this formula in the dataset = 0.0 meV/atom; energy of formation = -32.9 kJ per mole of atoms; M_tot = 0.000 μB/atom
1.0
-3.528 0.428 1.147
-1.202 -1.869 -3.002
0.922 -12.842 7.627
Tl Hg Tm
3 1 4
Cartesian
-2.139 -3.875 0.946
-1.670 -10.408 4.826
-1.904 -7.141 2.886
-2.365 -0.721 -0.927
0.109 -1.516 0.901
0.813 -11.325 6.726
0.579 -8.059 4.786
0.343 -4.783 2.840

---

[19]
Tm3Tl2Hg (PBE, optimized geometry); energy of formation = -34.5 kJ per mole of atoms; M_tot = 0.000 μB/atom
1.0
3.691 0.000 0.000
0.000 3.691 0.000
0.000 0.000 11.450
Tm Hg Tl
3 1 2
Cartesian
0.000 0.000 0.000
0.000 0.000 7.515
0.000 0.000 3.935
1.845 1.845 5.725
1.845 1.845 1.969
1.845 1.845 9.481

---

[20]
Tm5Tl3Hg (PBE, optimized geometry); energy of formation = -33.9 kJ per mole of atoms; M_tot = 0.000 μB/atom
1.0
-6.071 1.724 -2.322
1.435 -5.017 -7.476
-3.877 -3.765 7.342
Tm Tl Hg
10 6 2
Cartesian
-4.304 -2.275 4.696
-4.149 -0.119 -3.844
-0.336 -4.600 -2.536
-0.487 -3.175 -5.953
-4.209 -4.784 -7.152
-3.371 -3.738 -3.697
-2.107 -4.183 2.403
-2.205 -2.040 -0.618
-5.142 -3.321 1.242
-6.309 -5.019 -1.837
-0.973 -1.474 -3.418
-5.480 -2.041 -1.792
-3.663 -1.820 -6.379
-2.990 -0.998 2.207
-5.524 -6.060 -4.662
-3.033 -5.018 -0.663
-3.035 0.862 -1.161
0.000 0.000 0.000